# 1
Computed, not measured: a relaxed Y2RePt crystal at the PBE level of DFT.

a b c (Å): 3.476 3.514 6.836
angles (deg): 90.00 90.00 90.00
Space group Pmmm (No. 47)
Symmetry-distinct sites (fractional):
Y 0.000 0.000 0.247
Re 0.500 0.500 0.000
Pt 0.500 0.500 0.500

Properties
DFT formation energy ... -395.0 meV/atom
Uncorrected energy ... -8.249 eV per atom
Crystal system ... orthorhombic
Spin magnetization ... 0.000 μB per formula unit

---

# 2
Computed, not measured: a relaxed Y2RePt crystal at the PBE level of DFT.

a b c (Å): 3.5431 3.5431 24.6559
angles (deg): 90.00 90.00 120.00
Space group R-3m (No. 166, hexagonal axes)
Symmetry-distinct sites (fractional):
Y 0.0000 0.0000 0.2494
Re 0.0000 0.0000 0.0000
Pt 0.0000 0.0000 0.5000

Properties
DFT formation energy ... -27.5 meV/atom
Uncorrected energy ... -7.882 eV per atom
Crystal system ... trigonal
Spin magnetization ... 0.000 μB per formula unit

---

# 3
Computed, not measured: a relaxed YRePt2 crystal at the PBE level of DFT.

a b c (Å): 6.653 6.653 6.653
angles (deg): 90.00 90.00 90.00
Space group Fm-3m (No. 225)
Symmetry-distinct sites (fractional):
Y 0.000 0.000 0.000
Re 0.000 0.000 0.500
Pt 0.250 0.250 0.250

Properties
DFT formation energy ... -108.4 meV/atom
Uncorrected energy ... -7.857 eV per atom
Crystal system ... cubic
Spin magnetization ... 2.338 μB per formula unit

---

# 4
Computed, not measured: a relaxed YRePt2 crystal at the PBE level of DFT.

a b c (Å): 2.9007 2.9007 28.7071
angles (deg): 90.00 90.00 120.00
Space group R-3m (No. 166, hexagonal axes)
Symmetry-distinct sites (fractional):
Y 0.0000 0.0000 0.0000
Re 0.0000 0.0000 0.5000
Pt 0.0000 0.0000 0.2434

Properties
DFT formation energy ... 60.6 meV/atom
Uncorrected energy ... -7.688 eV per atom
Crystal system ... trigonal
Spin magnetization ... 0.000 μB per formula unit